[1]
The following is a GGA-PBE calculation of a geometry-optimized BeV3Cd structure, from Alexandria.

## Properties
ΔE to the lowest computed polymorph: 0 meV per atom
raw total energy: -5.81 eV/atom

Geometry as CIF:
```
data_BeV3Cd
_space_group_name_H-M_alt 'P m -3 m'
_space_group_IT_number 221
_space_group_name_Hall '-P 4 2 3'
_cell_length_a 4.194
_cell_length_b 4.194
_cell_length_c 4.194
_cell_angle_alpha 90.00
_cell_angle_beta 90.00
_cell_angle_gamma 90.00
loop_
_atom_site_label
_atom_site_type_symbol
_atom_site_fract_x
_atom_site_fract_y
_atom_site_fract_z
Be1 Be 0.000 0.000 0.000
V1 V 0.000 0.000 0.500
Cd1 Cd 0.500 0.500 0.500
```

---

[2]
The following is a GGA-PBE calculation of a geometry-optimized PtRhBr2 structure, from Alexandria.

## Properties
ΔE to the lowest computed polymorph: 629 meV per atom
energy relative to the elements, uncorrected: 0.596 eV per atom
raw total energy: -3.59 eV/atom

Geometry as CIF:
```
data_PtRhBr2
_space_group_name_H-M_alt 'I m m m'
_space_group_IT_number 71
_space_group_name_Hall '-I 2 2'
_cell_length_a 3.127
_cell_length_b 5.947
_cell_length_c 8.483
_cell_angle_alpha 90.00
_cell_angle_beta 90.00
_cell_angle_gamma 90.00
loop_
_atom_site_label
_atom_site_type_symbol
_atom_site_fract_x
_atom_site_fract_y
_atom_site_fract_z
Pt1 Pt 0.000 0.000 0.000
Rh1 Rh 0.000 0.000 0.500
Br1 Br 0.000 0.500 0.238
```

---

[3]
The following is a GGA-PBE calculation of a geometry-optimized TaW2Cl structure, from Alexandria.

## Properties
ΔE to the lowest computed polymorph: 457 meV per atom
energy relative to the elements, uncorrected: 0.692 eV per atom
raw total energy: -9.21 eV/atom

Geometry as CIF:
```
data_TaW2Cl
_space_group_name_H-M_alt 'C 1 2/m 1'
_space_group_IT_number 12
_space_group_name_Hall '-C 2y'
_cell_length_a 10.226
_cell_length_b 3.038
_cell_length_c 4.466
_cell_angle_alpha 90.00
_cell_angle_beta 94.31
_cell_angle_gamma 90.00
loop_
_atom_site_label
_atom_site_type_symbol
_atom_site_fract_x
_atom_site_fract_y
_atom_site_fract_z
Ta1 Ta 0.000 0.000 0.000
W1 W 0.224 0.500 0.221
Cl1 Cl 0.000 0.500 0.500
```

---

[4]
The following is a GGA-PBE calculation of a geometry-optimized LaTlRe structure, from Alexandria.

## Properties
ΔE to the lowest computed polymorph: 8 meV per atom
raw total energy: -6.62 eV/atom

Geometry as CIF:
```
data_LaTlRe
_space_group_name_H-M_alt 'P -3 m 1'
_space_group_IT_number 164
_space_group_name_Hall '-P 3 2"'
_cell_length_a 4.2414
_cell_length_b 4.2414
_cell_length_c 11.1162
_cell_angle_alpha 90.00
_cell_angle_beta 90.00
_cell_angle_gamma 120.00
loop_
_atom_site_label
_atom_site_type_symbol
_atom_site_fract_x
_atom_site_fract_y
_atom_site_fract_z
La1 La 0.0000 0.0000 0.1955
Tl1 Tl 0.3333 0.6667 0.5860
Re1 Re 0.3333 0.6667 0.9817
```

---

[5]
The following is a GGA-PBE calculation of a geometry-optimized Na3Ga5Au6 structure, from Alexandria.

## Properties
raw total energy: -3.08 eV/atom

Geometry as CIF:
```
data_Na3Ga5Au6
_space_group_name_H-M_alt 'P m m n'
_space_group_IT_number 59
_cell_length_a 4.510
_cell_length_b 13.460
_cell_length_c 9.189
_cell_angle_alpha 90.00
_cell_angle_beta 90.00
_cell_angle_gamma 90.00
loop_
_space_group_symop_operation_xyz
'x,y,z'
'-x,-y,-z'
'-x+1/2,-y+1/2,z'
'x+1/2,y+1/2,-z'
'x+1/2,-y,-z'
'-x+1/2,y,z'
'-x,y+1/2,-z'
'x,-y+1/2,z'
loop_
_atom_site_label
_atom_site_type_symbol
_atom_site_fract_x
_atom_site_fract_y
_atom_site_fract_z
Na1 Na 0.250 0.049 0.250
Na2 Na 0.250 0.750 0.248
Ga1 Ga 0.250 0.076 0.903
Ga2 Ga 0.250 0.610 0.525
Ga3 Ga 0.250 0.750 0.749
Au1 Au 0.250 0.081 0.622
Au2 Au 0.250 0.250 0.076
Au3 Au 0.250 0.250 0.424
Au4 Au 0.250 0.618 0.973
```

---

[6]
The following is a GGA-PBE calculation of a geometry-optimized KCd3Cl structure, from Alexandria.

## Properties
ΔE to the lowest computed polymorph: 171 meV per atom
energy relative to the elements, uncorrected: 0.151 eV per atom
raw total energy: -0.99 eV/atom

Geometry as CIF:
```
data_KCd3Cl
_space_group_name_H-M_alt 'P m -3 m'
_space_group_IT_number 221
_space_group_name_Hall '-P 4 2 3'
_cell_length_a 6.593
_cell_length_b 6.593
_cell_length_c 6.593
_cell_angle_alpha 90.00
_cell_angle_beta 90.00
_cell_angle_gamma 90.00
loop_
_atom_site_label
_atom_site_type_symbol
_atom_site_fract_x
_atom_site_fract_y
_atom_site_fract_z
K1 K 0.000 0.000 0.000
Cd1 Cd 0.000 0.000 0.500
Cl1 Cl 0.500 0.500 0.500
```

---

[7]
The following is a GGA-PBE calculation of a geometry-optimized PrPd2Au8 structure, from Alexandria.

## Properties
raw total energy: -3.95 eV/atom

Geometry as CIF:
```
data_PrPd2Au8
_space_group_name_H-M_alt 'C m m m'
_space_group_IT_number 65
_space_group_name_Hall '-C 2 2'
_cell_length_a 8.710
_cell_length_b 11.983
_cell_length_c 4.182
_cell_angle_alpha 90.00
_cell_angle_beta 90.00
_cell_angle_gamma 90.00
loop_
_atom_site_label
_atom_site_type_symbol
_atom_site_fract_x
_atom_site_fract_y
_atom_site_fract_z
Pr1 Pr 0.000 0.000 0.000
Pd1 Pd 0.000 0.386 0.500
Au1 Au 0.000 0.249 0.000
Au2 Au 0.162 0.500 0.000
Au3 Au 0.180 0.140 0.500
```

---

[8]
The following is a GGA-PBE calculation of a geometry-optimized DySi2Ir2 structure, from Alexandria.

## Properties
energy relative to the elements, uncorrected: -1.084 eV per atom
raw total energy: -7.72 eV/atom

Geometry as CIF:
```
data_DySi2Ir2
_space_group_name_H-M_alt 'I 4/m m m'
_space_group_IT_number 139
_space_group_name_Hall '-I 4 2'
_cell_length_a 4.081
_cell_length_b 4.081
_cell_length_c 9.965
_cell_angle_alpha 90.00
_cell_angle_beta 90.00
_cell_angle_gamma 90.00
loop_
_atom_site_label
_atom_site_type_symbol
_atom_site_fract_x
_atom_site_fract_y
_atom_site_fract_z
Dy1 Dy 0.000 0.000 0.000
Si1 Si 0.000 0.000 0.379
Ir1 Ir 0.000 0.500 0.250
```

---

[9]
The following is a GGA-PBE calculation of a geometry-optimized LaCoHgPb2 structure, from Alexandria.

## Properties
raw total energy: -4.14 eV/atom

Geometry as CIF:
```
data_LaCoHgPb2
_space_group_name_H-M_alt 'P 4/m m m'
_space_group_IT_number 123
_space_group_name_Hall '-P 4 2'
_cell_length_a 5.140
_cell_length_b 5.140
_cell_length_c 5.073
_cell_angle_alpha 90.00
_cell_angle_beta 90.00
_cell_angle_gamma 90.00
loop_
_atom_site_label
_atom_site_type_symbol
_atom_site_fract_x
_atom_site_fract_y
_atom_site_fract_z
La1 La 0.000 0.000 0.000
Co1 Co 0.000 0.000 0.500
Hg1 Hg 0.500 0.500 0.000
Pb1 Pb 0.000 0.500 0.500
```

---

[10]
The following is a GGA-PBE calculation of a geometry-optimized Tb3YRu structure, from Alexandria.

## Properties
ΔE to the lowest computed polymorph: 159 meV per atom
raw total energy: -5.97 eV/atom

Geometry as CIF:
```
data_Tb3YRu
_space_group_name_H-M_alt 'P m -3 m'
_space_group_IT_number 221
_space_group_name_Hall '-P 4 2 3'
_cell_length_a 5.406
_cell_length_b 5.406
_cell_length_c 5.406
_cell_angle_alpha 90.00
_cell_angle_beta 90.00
_cell_angle_gamma 90.00
loop_
_atom_site_label
_atom_site_type_symbol
_atom_site_fract_x
_atom_site_fract_y
_atom_site_fract_z
Tb1 Tb 0.000 0.000 0.500
Y1 Y 0.500 0.500 0.500
Ru1 Ru 0.000 0.000 0.000
```

---

[11]
The following is a GGA-PBE calculation of a geometry-optimized BaN structure, from Alexandria.

## Properties
energy relative to the elements, uncorrected: -0.316 eV per atom
raw total energy: -5.44 eV/atom

Geometry as CIF:
```
data_BaN
_space_group_name_H-M_alt 'P 1'
_space_group_IT_number 1
_space_group_name_Hall 'P 1'
_cell_length_a 4.144
_cell_length_b 4.262
_cell_length_c 7.921
_cell_angle_alpha 98.91
_cell_angle_beta 92.34
_cell_angle_gamma 117.34
loop_
_atom_site_label
_atom_site_type_symbol
_atom_site_fract_x
_atom_site_fract_y
_atom_site_fract_z
Ba1 Ba 0.000 0.000 0.000
Ba2 Ba 0.221 0.411 0.452
N1 N 0.356 0.682 0.155
N2 N 0.526 0.985 0.262
```

---

[12]
The following is a GGA-PBE calculation of a geometry-optimized NaNdDy2Te4 structure, from Alexandria.

## Properties
energy relative to the elements, uncorrected: -1.337 eV per atom
raw total energy: -4.82 eV/atom

Geometry as CIF:
```
data_NaNdDy2Te4
_space_group_name_H-M_alt 'P 1 2/m 1'
_space_group_IT_number 10
_space_group_name_Hall '-P 2y'
_cell_length_a 7.697
_cell_length_b 4.386
_cell_length_c 7.723
_cell_angle_alpha 90.00
_cell_angle_beta 108.84
_cell_angle_gamma 90.00
loop_
_atom_site_label
_atom_site_type_symbol
_atom_site_fract_x
_atom_site_fract_y
_atom_site_fract_z
Na1 Na 0.000 0.000 0.000
Nd1 Nd 0.500 0.500 0.000
Dy1 Dy 0.000 0.500 0.500
Dy2 Dy 0.500 0.000 0.500
Te1 Te 0.244 0.000 0.741
Te2 Te 0.251 0.500 0.259
```

---

no.,spin magnetization (μB per formula unit)
1,0.916
2,0.000
3,0.000
4,0.000
5,0.000
6,0.000
7,0.000
8,0.000
9,0.000
10,0.085
11,0.001
12,0.000